A plane-wave DFT calculation with PBE was carried out for a geometry-optimized Ga3NiS structure.

## Properties
- M_tot (Bohr magnetons per cell) = 0.000
- excess energy over the best structure of this formula in the dataset (meV per atom) = 816
- N(E_F) (states/eV per atom) = 0.73
- space group = Pm-3m (221)

Geometry as CIF:
```
data_Ga3NiS
_chemical_formula_sum 'Ga3 Ni1 S1'
_symmetry_space_group_name_H-M 'P 1'
_symmetry_Int_Tables_number 1
_cell_length_a 4.7467
_cell_length_b 4.7467
_cell_length_c 4.7467
_cell_angle_alpha 90.00
_cell_angle_beta 90.00
_cell_angle_gamma 90.00
loop_
_symmetry_equiv_pos_as_xyz
'x,y,z'
loop_
_atom_site_label
_atom_site_fract_x
_atom_site_fract_y
_atom_site_fract_z
Ga1 0.0000 0.0000 0.5000
Ga2 0.0000 0.5000 0.0000
Ga3 0.5000 0.0000 0.0000
Ni1 0.5000 0.5000 0.5000
S1 0.0000 0.0000 0.0000
```

A plane-wave DFT calculation with PBE was carried out for a geometry-optimized GaNi2S2 structure.

## Properties
- M_tot (Bohr magnetons per cell) = 0.000
- N(E_F) (states/eV per atom) = 0.96
- calculated total energy (eV per atom) = -4.80
- space group = C2/m (12)

Geometry as CIF:
```
data_GaNi2S2
_chemical_formula_sum 'Ga1 Ni2 S2'
_symmetry_space_group_name_H-M 'P 1'
_symmetry_Int_Tables_number 1
_cell_length_a 3.7231
_cell_length_b 3.7231
_cell_length_c 6.5230
_cell_angle_alpha 106.45
_cell_angle_beta 106.45
_cell_angle_gamma 89.97
loop_
_symmetry_equiv_pos_as_xyz
'x,y,z'
loop_
_atom_site_label
_atom_site_fract_x
_atom_site_fract_y
_atom_site_fract_z
Ga1 0.0000 0.0000 0.0000
Ni1 0.2492 0.7508 0.5000
Ni2 0.7508 0.2492 0.5000
S1 0.3552 0.3552 0.7102
S2 0.6448 0.6448 0.2898
```

A plane-wave DFT calculation with PBE was carried out for a geometry-optimized GaNi3S structure.

## Properties
- M_tot (Bohr magnetons per cell) = 0.852
- excess energy over the best structure of this formula in the dataset (meV per atom) = 820
- N(E_F) (states/eV per atom) = 1.09
- space group = Pm-3m (221)

Geometry as CIF:
```
data_GaNi3S
_chemical_formula_sum 'Ga1 Ni3 S1'
_symmetry_space_group_name_H-M 'P 1'
_symmetry_Int_Tables_number 1
_cell_length_a 4.3432
_cell_length_b 4.3432
_cell_length_c 4.3432
_cell_angle_alpha 90.00
_cell_angle_beta 90.00
_cell_angle_gamma 90.00
loop_
_symmetry_equiv_pos_as_xyz
'x,y,z'
loop_
_atom_site_label
_atom_site_fract_x
_atom_site_fract_y
_atom_site_fract_z
Ga1 0.0000 0.0000 0.0000
Ni1 0.0000 0.0000 0.5000
Ni2 0.0000 0.5000 0.0000
Ni3 0.5000 0.0000 0.0000
S1 0.5000 0.5000 0.5000
```

A plane-wave DFT calculation with PBE was carried out for a geometry-optimized Sm3GaNiS7 structure.

## Properties
- M_tot (Bohr magnetons per cell) = 4.039
- N(E_F) (states/eV per atom) = 0.02
- calculated total energy (eV per atom) = -5.79
- space group = P6_3 (173)

Geometry as CIF:
```
data_Sm3GaNiS7
_chemical_formula_sum 'Sm6 Ga2 Ni2 S14'
_symmetry_space_group_name_H-M 'P 1'
_symmetry_Int_Tables_number 1
_cell_length_a 9.7347
_cell_length_b 9.7347
_cell_length_c 6.2542
_cell_angle_alpha 90.00
_cell_angle_beta 90.00
_cell_angle_gamma 120.00
loop_
_symmetry_equiv_pos_as_xyz
'x,y,z'
loop_
_atom_site_label
_atom_site_fract_x
_atom_site_fract_y
_atom_site_fract_z
Sm1 0.1581 0.3754 0.0000
Sm2 0.2173 0.8419 0.0000
Sm3 0.3754 0.2173 0.5000
Sm4 0.6246 0.7827 0.0000
Sm5 0.7827 0.1581 0.5000
Sm6 0.8419 0.6246 0.5000
Ga1 0.3333 0.6667 0.5747
Ga2 0.6667 0.3333 0.0747
Ni1 0.0000 0.0000 0.1711
Ni2 0.0000 0.0000 0.6711
S1 0.0877 0.5652 0.7266
S2 0.0984 0.2270 0.4077
S3 0.1286 0.9016 0.4077
S4 0.2270 0.1286 0.9077
S5 0.3333 0.6667 0.2125
S6 0.4348 0.5225 0.7266
S7 0.4775 0.9123 0.7266
S8 0.5225 0.0877 0.2266
S9 0.5652 0.4775 0.2266
S10 0.6667 0.3333 0.7125
S11 0.7730 0.8714 0.4077
S12 0.8714 0.0984 0.9077
S13 0.9016 0.7730 0.9077
S14 0.9123 0.4348 0.2266
```

A plane-wave DFT calculation with PBE was carried out for a geometry-optimized GaNiSnS4 structure.

## Properties
- M_tot (Bohr magnetons per cell) = 0.002
- N(E_F) (states/eV per atom) = 0.41
- calculated total energy (eV per atom) = -4.54
- space group = Imma (74)

Geometry as CIF:
```
data_GaNiSnS4
_chemical_formula_sum 'Ga2 Ni2 Sn2 S8'
_symmetry_space_group_name_H-M 'P 1'
_symmetry_Int_Tables_number 1
_cell_length_a 7.4426
_cell_length_b 7.4426
_cell_length_c 7.4426
_cell_angle_alpha 123.90
_cell_angle_beta 121.43
_cell_angle_gamma 85.46
loop_
_symmetry_equiv_pos_as_xyz
'x,y,z'
loop_
_atom_site_label
_atom_site_fract_x
_atom_site_fract_y
_atom_site_fract_z
Ga1 0.4075 0.1575 0.2500
Ga2 0.5925 0.8425 0.7500
Ni1 0.0000 0.0000 0.5000
Ni2 0.0000 0.5000 0.0000
Sn1 0.0000 0.5000 0.5000
Sn2 0.5000 0.5000 0.0000
S1 0.1928 0.7391 0.4537
S2 0.2146 0.2609 0.9537
S3 0.2485 0.2317 0.4832
S4 0.2485 0.7654 0.0168
S5 0.7515 0.2346 0.9832
S6 0.7515 0.7683 0.5168
S7 0.7854 0.7391 0.0463
S8 0.8072 0.2609 0.5463
```

A plane-wave DFT calculation with PBE was carried out for a geometry-optimized Ga2NiWS structure.

## Properties
- M_tot (Bohr magnetons per cell) = 2.135
- N(E_F) (states/eV per atom) = 0.73
- calculated total energy (eV per atom) = -5.10
- space group = P4/mmm (123)

Geometry as CIF:
```
data_Ga2NiWS
_chemical_formula_sum 'Ga2 Ni1 W1 S1'
_symmetry_space_group_name_H-M 'P 1'
_symmetry_Int_Tables_number 1
_cell_length_a 4.3891
_cell_length_b 4.3891
_cell_length_c 4.7929
_cell_angle_alpha 90.00
_cell_angle_beta 90.00
_cell_angle_gamma 90.00
loop_
_symmetry_equiv_pos_as_xyz
'x,y,z'
loop_
_atom_site_label
_atom_site_fract_x
_atom_site_fract_y
_atom_site_fract_z
Ga1 0.0000 0.5000 0.0000
Ga2 0.5000 0.0000 0.0000
Ni1 0.0000 0.0000 0.0000
W1 0.0000 0.0000 0.5000
S1 0.5000 0.5000 0.5000
```

A plane-wave DFT calculation with PBE was carried out for a geometry-optimized GaNiSb2 structure.

## Properties
- M_tot (Bohr magnetons per cell) = 0.000
- N(E_F) (states/eV per atom) = 0.73
- calculated total energy (eV per atom) = -4.22
- space group = I-42d (122)

Geometry as CIF:
```
data_GaNiSb2
_chemical_formula_sum 'Ga2 Ni2 Sb4'
_symmetry_space_group_name_H-M 'P 1'
_symmetry_Int_Tables_number 1
_cell_length_a 7.6652
_cell_length_b 7.6652
_cell_length_c 7.6652
_cell_angle_alpha 136.55
_cell_angle_beta 136.55
_cell_angle_gamma 63.14
loop_
_symmetry_equiv_pos_as_xyz
'x,y,z'
loop_
_atom_site_label
_atom_site_fract_x
_atom_site_fract_y
_atom_site_fract_z
Ga1 0.0000 0.0000 0.0000
Ga2 0.7500 0.2500 0.5000
Ni1 0.2500 0.7500 0.5000
Ni2 0.5000 0.5000 0.0000
Sb1 0.1681 0.6250 0.0431
Sb2 0.3750 0.4181 0.5431
Sb3 0.5819 0.1250 0.9569
Sb4 0.8750 0.8319 0.4569
```

A plane-wave DFT calculation with PBE was carried out for a geometry-optimized Ga3Ni12Sb structure.

## Properties
- M_tot (Bohr magnetons per cell) = 2.020
- N(E_F) (states/eV per atom) = 0.99
- calculated total energy (eV per atom) = -5.42
- space group = P4/mmm (123)

Geometry as CIF:
```
data_Ga3Ni12Sb
_chemical_formula_sum 'Ga3 Ni12 Sb1'
_symmetry_space_group_name_H-M 'P 1'
_symmetry_Int_Tables_number 1
_cell_length_a 3.6316
_cell_length_b 3.6316
_cell_length_c 14.3887
_cell_angle_alpha 90.00
_cell_angle_beta 90.00
_cell_angle_gamma 90.00
loop_
_symmetry_equiv_pos_as_xyz
'x,y,z'
loop_
_atom_site_label
_atom_site_fract_x
_atom_site_fract_y
_atom_site_fract_z
Ga1 0.0000 0.0000 0.0000
Ga2 0.0000 0.0000 0.2435
Ga3 0.0000 0.0000 0.7565
Ni1 0.0000 0.5000 0.1222
Ni2 0.0000 0.5000 0.3674
Ni3 0.0000 0.5000 0.6326
Ni4 0.0000 0.5000 0.8778
Ni5 0.5000 0.0000 0.1222
Ni6 0.5000 0.0000 0.3674
Ni7 0.5000 0.0000 0.6326
Ni8 0.5000 0.0000 0.8778
Ni9 0.5000 0.5000 0.0000
Ni10 0.5000 0.5000 0.2455
Ni11 0.5000 0.5000 0.5000
Ni12 0.5000 0.5000 0.7545
Sb1 0.0000 0.0000 0.5000
```

A plane-wave DFT calculation with PBE was carried out for a geometry-optimized GaNi15Sb4 structure.

## Properties
- M_tot (Bohr magnetons per cell) = 0.000
- N(E_F) (states/eV per atom) = 0.67
- calculated total energy (eV per atom) = -5.49
- space group = P4/mmm (123)

Geometry as CIF:
```
data_GaNi15Sb4
_chemical_formula_sum 'Ga1 Ni15 Sb4'
_symmetry_space_group_name_H-M 'P 1'
_symmetry_Int_Tables_number 1
_cell_length_a 3.7139
_cell_length_b 3.7139
_cell_length_c 18.3847
_cell_angle_alpha 90.00
_cell_angle_beta 90.00
_cell_angle_gamma 90.00
loop_
_symmetry_equiv_pos_as_xyz
'x,y,z'
loop_
_atom_site_label
_atom_site_fract_x
_atom_site_fract_y
_atom_site_fract_z
Ga1 0.0000 0.0000 0.0000
Ni1 0.0000 0.5000 0.0938
Ni2 0.0000 0.5000 0.2969
Ni3 0.0000 0.5000 0.5000
Ni4 0.0000 0.5000 0.7031
Ni5 0.0000 0.5000 0.9062
Ni6 0.5000 0.0000 0.0938
Ni7 0.5000 0.0000 0.2969
Ni8 0.5000 0.0000 0.5000
Ni9 0.5000 0.0000 0.7031
Ni10 0.5000 0.0000 0.9062
Ni11 0.5000 0.5000 0.0000
Ni12 0.5000 0.5000 0.1972
Ni13 0.5000 0.5000 0.3985
Ni14 0.5000 0.5000 0.6015
Ni15 0.5000 0.5000 0.8028
Sb1 0.0000 0.0000 0.1931
Sb2 0.0000 0.0000 0.3980
Sb3 0.0000 0.0000 0.6020
Sb4 0.0000 0.0000 0.8069
```

A plane-wave DFT calculation with PBE was carried out for a geometry-optimized GaNiSb2 structure.

## Properties
- M_tot (Bohr magnetons per cell) = 0.003
- N(E_F) (states/eV per atom) = 0.82
- calculated total energy (eV per atom) = -3.88
- space group = R-3m (166)

Geometry as CIF:
```
data_GaNiSb2
_chemical_formula_sum 'Ga1 Ni1 Sb2'
_symmetry_space_group_name_H-M 'P 1'
_symmetry_Int_Tables_number 1
_cell_length_a 10.6689
_cell_length_b 10.6689
_cell_length_c 10.6689
_cell_angle_alpha 17.03
_cell_angle_beta 17.03
_cell_angle_gamma 17.03
loop_
_symmetry_equiv_pos_as_xyz
'x,y,z'
loop_
_atom_site_label
_atom_site_fract_x
_atom_site_fract_y
_atom_site_fract_z
Ga1 0.0000 0.0000 0.0000
Ni1 0.5000 0.5000 0.5000
Sb1 0.4216 0.4216 0.4216
Sb2 0.5784 0.5784 0.5784
```

A plane-wave DFT calculation with PBE was carried out for a geometry-optimized Ga3NiSb structure.

## Properties
- M_tot (Bohr magnetons per cell) = 0.000
- excess energy over the best structure of this formula in the dataset (meV per atom) = 1041
- N(E_F) (states/eV per atom) = 0.79
- space group = Pm-3m (221)

Geometry as CIF:
```
data_Ga3NiSb
_chemical_formula_sum 'Ga3 Ni1 Sb1'
_symmetry_space_group_name_H-M 'P 1'
_symmetry_Int_Tables_number 1
_cell_length_a 5.3142
_cell_length_b 5.3142
_cell_length_c 5.3142
_cell_angle_alpha 90.00
_cell_angle_beta 90.00
_cell_angle_gamma 90.00
loop_
_symmetry_equiv_pos_as_xyz
'x,y,z'
loop_
_atom_site_label
_atom_site_fract_x
_atom_site_fract_y
_atom_site_fract_z
Ga1 0.0000 0.0000 0.5000
Ga2 0.0000 0.5000 0.0000
Ga3 0.5000 0.0000 0.0000
Ni1 0.5000 0.5000 0.5000
Sb1 0.0000 0.0000 0.0000
```

A plane-wave DFT calculation with PBE was carried out for a geometry-optimized Ga2Ni5Sb structure.

## Properties
- M_tot (Bohr magnetons per cell) = 0.000
- N(E_F) (states/eV per atom) = 0.50
- calculated total energy (eV per atom) = -5.14
- space group = I4/mmm (139)

Geometry as CIF:
```
data_Ga2Ni5Sb
_chemical_formula_sum 'Ga2 Ni5 Sb1'
_symmetry_space_group_name_H-M 'P 1'
_symmetry_Int_Tables_number 1
_cell_length_a 7.5646
_cell_length_b 7.5646
_cell_length_c 7.5646
_cell_angle_alpha 150.96
_cell_angle_beta 150.96
_cell_angle_gamma 41.54
loop_
_symmetry_equiv_pos_as_xyz
'x,y,z'
loop_
_atom_site_label
_atom_site_fract_x
_atom_site_fract_y
_atom_site_fract_z
Ga1 0.2449 0.2449 0.0000
Ga2 0.7551 0.7551 0.0000
Ni1 0.0000 0.0000 0.0000
Ni2 0.1315 0.6315 0.5000
Ni3 0.3685 0.8685 0.5000
Ni4 0.6315 0.1315 0.5000
Ni5 0.8685 0.3685 0.5000
Sb1 0.5000 0.5000 0.0000
```